Model one:
First-principles (SCAN) data for SrFe2Os at its PBEsol-relaxed geometry, as listed in Alexandria via LeMat-Bulk.

Cell lengths 3.1295, 3.1295, 7.0088 Å; angles 90.00, 90.00, 90.00 degrees
Space group P4/mmm (No. 123)
Symmetry-distinct sites (fractional):
Sr 0.0000 0.0000 0.0000 x1
Fe 0.5000 0.5000 0.3328 x2
Os 0.0000 0.0000 0.5000 x1

Calculated values
Volume ... 69 Å³ per cell
ρ ... 9424 kg/m3
Total moment ... 5.24 μB/f.u.

Model two:
First-principles (SCAN) data for SrFe2Os at its PBEsol-relaxed geometry, as listed in Alexandria via LeMat-Bulk.

Cell lengths 2.7307, 4.8162, 9.6889 Å; angles 90.00, 90.00, 90.00 degrees
Space group Imm2 (No. 44)
Symmetry-distinct sites (fractional):
Sr 0.0000 0.0000 0.0000 x2
Fe 0.0000 0.0000 0.4930 x2
Fe 0.0000 0.5000 0.7849 x2
Os 0.0000 0.5000 0.2120 x2

Calculated values
Volume ... 127 Å³ per cell
ρ ... 10153 kg/m3
Total moment ... 5.39 μB/f.u.

Model three:
First-principles (SCAN) data for SrFe2Os at its PBEsol-relaxed geometry, as listed in Alexandria via LeMat-Bulk.

Cell lengths 6.3551, 6.3551, 6.3551 Å; angles 90.00, 90.00, 90.00 degrees
Space group Fm-3m (No. 225)
Symmetry-distinct sites (fractional):
Sr 0.0000 0.0000 0.0000 x4
Fe 0.2500 0.2500 0.2500 x8
Os 0.0000 0.0000 0.5000 x4

Calculated values
Volume ... 257 Å³ per cell
ρ ... 10081 kg/m3
Total moment ... 6.99 μB/f.u.

model one ends up most stable, edging out the next structure by 0.242 eV/atom.

Model one:
First-principles (SCAN) data for FeTcOs2 at its PBEsol-relaxed geometry, as listed in Alexandria via LeMat-Bulk.

Cell lengths 2.6729, 2.6729, 25.7681 Å; angles 90.00, 90.00, 120.00 degrees
Space group R3m (No. 160, hexagonal axes)
Symmetry-distinct sites (fractional):
Fe 0.0000 0.0000 0.0000 x3
Tc 0.0000 0.0000 0.2521 x3
Os 0.0000 0.0000 0.5000 x3
Os 0.0000 0.0000 0.7458 x3

Calculated values
Volume ... 159 Å³ per cell
ρ ... 16695 kg/m3
Total moment ... 2.30 μB/f.u.

Model two:
First-principles (SCAN) data for FeTcOs2 at its PBEsol-relaxed geometry, as listed in Alexandria via LeMat-Bulk.

Cell lengths 3.7375, 3.7375, 7.4780 Å; angles 90.00, 90.00, 90.00 degrees
Space group I-4m2 (No. 119)
Symmetry-distinct sites (fractional):
Fe 0.0000 0.0000 0.0000 x2
Tc 0.0000 0.5000 0.7500 x2
Os 0.0000 0.0000 0.5000 x2
Os 0.0000 0.5000 0.2500 x2

Calculated values
Volume ... 104 Å³ per cell
ρ ... 16988 kg/m3
Total moment ... 1.21 μB/f.u.

model two ends up most stable, edging out the next structure by 0.038 eV/atom.

Model one:
First-principles (SCAN) data for FeOs2W at its PBEsol-relaxed geometry, as listed in Alexandria via LeMat-Bulk.

Cell lengths 6.0618, 6.0618, 6.0618 Å; angles 90.00, 90.00, 90.00 degrees
Space group F-43m (No. 216)
Symmetry-distinct sites (fractional):
Fe 0.0000 0.0000 0.0000 x4
Os 0.0000 0.0000 0.5000 x4
Os 0.2500 0.2500 0.2500 x4
W 0.2500 0.2500 0.7500 x4

Calculated values
Volume ... 223 Å³ per cell
ρ ... 18493 kg/m3
Total moment ... 2.90 μB/f.u.

Model two:
First-principles (SCAN) data for FeOs2W at its PBEsol-relaxed geometry, as listed in Alexandria via LeMat-Bulk.

Cell lengths 3.7900, 3.7900, 3.7669 Å; angles 90.00, 90.00, 90.00 degrees
Space group P4/mmm (No. 123)
Symmetry-distinct sites (fractional):
Fe 0.0000 0.0000 0.0000 x1
Os 0.0000 0.5000 0.5000 x2
W 0.5000 0.5000 0.0000 x1

Calculated values
Volume ... 54 Å³ per cell
ρ ... 19032 kg/m3
Total moment ... 1.51 μB/f.u.

model two ends up most stable, edging out the next structure by 0.303 eV/atom.

Model one:
First-principles (SCAN) data for YFe2Os at its PBEsol-relaxed geometry, as listed in Alexandria via LeMat-Bulk.

Cell lengths 2.8445, 2.8445, 7.1439 Å; angles 90.00, 90.00, 90.00 degrees
Space group P4/mmm (No. 123)
Symmetry-distinct sites (fractional):
Y 0.0000 0.0000 0.0000 x1
Fe 0.5000 0.5000 0.2952 x2
Os 0.0000 0.0000 0.5000 x1

Calculated values
Volume ... 58 Å³ per cell
ρ ... 11227 kg/m3
Total moment ... 4.18 μB/f.u.

Model two:
First-principles (SCAN) data for YFe2Os at its PBEsol-relaxed geometry, as listed in Alexandria via LeMat-Bulk.

Cell lengths 3.0056, 3.0056, 6.7237 Å; angles 90.00, 90.00, 90.00 degrees
Space group P4mm (No. 99)
Symmetry-distinct sites (fractional):
Y 0.0000 0.0000 0.0000 x1
Fe 0.0000 0.0000 0.4829 x1
Fe 0.5000 0.5000 0.3015 x1
Os 0.5000 0.5000 0.6823 x1

Calculated values
Volume ... 61 Å³ per cell
ρ ... 10685 kg/m3
Total moment ... 4.75 μB/f.u.

model two ends up most stable, edging out the next structure by 0.220 eV/atom.

Model one:
First-principles (SCAN) data for FeP3 at its PBEsol-relaxed geometry, as listed in Alexandria via LeMat-Bulk.

Cell lengths 7.0288, 9.9482, 3.5795 Å; angles 90.00, 90.00, 90.00 degrees
Space group Cmcm (No. 63)
Symmetry-distinct sites (fractional):
Fe 0.0000 0.0832 0.2500 x4
P 0.0000 0.2606 0.7500 x4
P 0.2106 0.0955 0.7500 x8

Calculated values
Volume ... 250 Å³ per cell
ρ ... 3948 kg/m3
Total moment ... 0.00 μB/f.u.

Model two:
First-principles (SCAN) data for FeP3 at its PBEsol-relaxed geometry, as listed in Alexandria via LeMat-Bulk.

Cell lengths 4.6749, 4.6749, 4.6749 Å; angles 90.00, 90.00, 90.00 degrees
Space group Pm-3n (No. 223)
Symmetry-distinct sites (fractional):
Fe 0.0000 0.0000 0.0000 x2
P 0.0000 0.2500 0.5000 x6

Calculated values
Volume ... 102 Å³ per cell
ρ ... 4836 kg/m3
Total moment ... 2.43 μB/f.u.

model one ends up most stable, edging out the next structure by 0.456 eV/atom.

Model one:
First-principles (SCAN) data for FeP2Pt at its PBEsol-relaxed geometry, as listed in Alexandria via LeMat-Bulk.

Cell lengths 5.0898, 5.0898, 10.1959 Å; angles 90.00, 90.00, 90.00 degrees
Space group I-42d (No. 122)
Symmetry-distinct sites (fractional):
Fe 0.0000 0.0000 0.0000 x4
P 0.2188 0.2500 0.1250 x8
Pt 0.0000 0.0000 0.5000 x4

Calculated values
Volume ... 264 Å³ per cell
ρ ... 7868 kg/m3
Total moment ... 0.00 μB/f.u.

Model two:
First-principles (SCAN) data for FeP2Pt at its PBEsol-relaxed geometry, as listed in Alexandria via LeMat-Bulk.

Cell lengths 7.2495, 2.8756, 4.8846 Å; angles 90.00, 102.16, 90.00 degrees
Space group C2/m (No. 12)
Symmetry-distinct sites (fractional):
Fe 0.0000 0.0000 0.0000 x2
P 0.2389 0.5000 0.2138 x4
Pt 0.0000 0.5000 0.5000 x2

Calculated values
Volume ... 100 Å³ per cell
ρ ... 10439 kg/m3
Total moment ... 1.77 μB/f.u.

model one ends up most stable, edging out the next structure by 0.175 eV/atom.

Model one:
First-principles (SCAN) data for FeP2Pt at its PBEsol-relaxed geometry, as listed in Alexandria via LeMat-Bulk.

Cell lengths 4.0852, 4.0852, 3.0988 Å; angles 90.00, 90.00, 90.00 degrees
Space group P4/mmm (No. 123)
Symmetry-distinct sites (fractional):
Fe 0.0000 0.0000 0.0000 x1
P 0.0000 0.5000 0.5000 x2
Pt 0.5000 0.5000 0.0000 x1

Calculated values
Volume ... 52 Å³ per cell
ρ ... 10046 kg/m3
Total moment ... 2.50 μB/f.u.

Model two:
First-principles (SCAN) data for FeP2Pt at its PBEsol-relaxed geometry, as listed in Alexandria via LeMat-Bulk.

Cell lengths 3.9207, 2.9533, 4.8492 Å; angles 90.00, 113.73, 90.00 degrees
Space group P2/m (No. 10)
Symmetry-distinct sites (fractional):
Fe 0.0000 0.0000 0.0000 x1
P 0.0000 0.0000 0.5000 x1
P 0.5000 0.5000 0.0000 x1
Pt 0.5000 0.5000 0.5000 x1

Calculated values
Volume ... 51 Å³ per cell
ρ ... 10108 kg/m3
Total moment ... 2.22 μB/f.u.

model two ends up most stable, edging out the next structure by 0.113 eV/atom.

Model one:
First-principles (SCAN) data for FeP2Ru at its PBEsol-relaxed geometry, as listed in Alexandria via LeMat-Bulk.

Cell lengths 5.5011, 7.3842, 2.8397 Å; angles 90.00, 119.29, 90.00 degrees
Space group C2/m (No. 12)
Symmetry-distinct sites (fractional):
Fe 0.0000 0.0000 0.0000 x2
P 0.2500 0.2500 0.0000 x4
Ru 0.0000 0.5000 0.0000 x2

Calculated values
Volume ... 101 Å³ per cell
ρ ... 7225 kg/m3
Total moment ... 2.01 μB/f.u.

Model two:
First-principles (SCAN) data for FeP2Ru at its PBEsol-relaxed geometry, as listed in Alexandria via LeMat-Bulk.

Cell lengths 5.8549, 5.8549, 5.8549 Å; angles 90.00, 90.00, 90.00 degrees
Space group F-43m (No. 216)
Symmetry-distinct sites (fractional):
Fe 0.0000 0.0000 0.0000 x4
P 0.0000 0.0000 0.5000 x4
P 0.2500 0.2500 0.7500 x4
Ru 0.2500 0.2500 0.2500 x4

Calculated values
Volume ... 201 Å³ per cell
ρ ... 7243 kg/m3
Total moment ... 3.85 μB/f.u.

model one ends up most stable, edging out the next structure by 0.192 eV/atom.

Model one:
First-principles (SCAN) data for FeP2Ru at its PBEsol-relaxed geometry, as listed in Alexandria via LeMat-Bulk.

Cell lengths 7.4314, 2.9683, 4.6360 Å; angles 90.00, 103.49, 90.00 degrees
Space group Cm (No. 8)
Symmetry-distinct sites (fractional):
Fe 0.0000 0.0000 0.0000 x2
P 0.2061 0.5000 0.9561 x2
P 0.4784 0.0000 0.3590 x2
Ru 0.2208 0.0000 0.5716 x2

Calculated values
Volume ... 99 Å³ per cell
ρ ... 7309 kg/m3
Total moment ... 0.00 μB/f.u.

Model two:
First-principles (SCAN) data for FeP2Ru at its PBEsol-relaxed geometry, as listed in Alexandria via LeMat-Bulk.

Cell lengths 2.8585, 2.8585, 5.5838 Å; angles 90.00, 90.00, 90.00 degrees
Space group P4/mmm (No. 123)
Symmetry-distinct sites (fractional):
Fe 0.0000 0.0000 0.0000 x1
P 0.5000 0.5000 0.2326 x2
Ru 0.0000 0.0000 0.5000 x1

Calculated values
Volume ... 46 Å³ per cell
ρ ... 7965 kg/m3
Total moment ... 1.25 μB/f.u.

model one ends up most stable, edging out the next structure by 0.187 eV/atom.

Model one:
First-principles (SCAN) data for FeSb2TeP at its PBEsol-relaxed geometry, as listed in Alexandria via LeMat-Bulk.

Cell lengths 5.1205, 5.1205, 5.0207 Å; angles 90.00, 90.00, 90.00 degrees
Space group P4/mmm (No. 123)
Symmetry-distinct sites (fractional):
Fe 0.0000 0.0000 0.0000 x1
Sb 0.0000 0.5000 0.5000 x2
Te 0.5000 0.5000 0.0000 x1
P 0.5000 0.5000 0.5000 x1

Calculated values
Volume ... 132 Å³ per cell
ρ ... 5777 kg/m3
Total moment ... 3.23 μB/f.u.

Model two:
First-principles (SCAN) data for FeSb2TeP at its PBEsol-relaxed geometry, as listed in Alexandria via LeMat-Bulk.

Cell lengths 4.7935, 4.7935, 4.9284 Å; angles 90.00, 90.00, 90.00 degrees
Space group P4/mmm (No. 123)
Symmetry-distinct sites (fractional):
Fe 0.0000 0.0000 0.0000 x1
Sb 0.0000 0.5000 0.0000 x2
Te 0.0000 0.0000 0.5000 x1
P 0.5000 0.5000 0.5000 x1

Calculated values
Volume ... 113 Å³ per cell
ρ ... 6715 kg/m3
Total moment ... 1.86 μB/f.u.

model two ends up most stable, edging out the next structure by 0.305 eV/atom.

Model one:
First-principles (SCAN) data for ScFeP2 at its PBEsol-relaxed geometry, as listed in Alexandria via LeMat-Bulk.

Cell lengths 6.0235, 6.0235, 6.0235 Å; angles 90.00, 90.00, 90.00 degrees
Space group Fm-3m (No. 225)
Symmetry-distinct sites (fractional):
Sc 0.0000 0.0000 0.0000 x4
Fe 0.0000 0.0000 0.5000 x4
P 0.2500 0.2500 0.2500 x8

Calculated values
Volume ... 219 Å³ per cell
ρ ... 4946 kg/m3
Total moment ... 1.63 μB/f.u.

Model two:
First-principles (SCAN) data for ScFeP2 at its PBEsol-relaxed geometry, as listed in Alexandria via LeMat-Bulk.

Cell lengths 3.6808, 5.1904, 5.9886 Å; angles 90.00, 90.00, 90.00 degrees
Space group Immm (No. 71)
Symmetry-distinct sites (fractional):
Sc 0.0000 0.0000 0.0000 x2
Fe 0.0000 0.0000 0.5000 x2
P 0.0000 0.5000 0.1985 x4

Calculated values
Volume ... 114 Å³ per cell
ρ ... 4724 kg/m3
Total moment ... 1.00 μB/f.u.

model two ends up most stable, edging out the next structure by 0.207 eV/atom.

Model one:
First-principles (SCAN) data for SrFeP2 at its PBEsol-relaxed geometry, as listed in Alexandria via LeMat-Bulk.

Cell lengths 3.9666, 3.9666, 9.3050 Å; angles 90.00, 90.00, 90.00 degrees
Space group I-4m2 (No. 119)
Symmetry-distinct sites (fractional):
Sr 0.0000 0.0000 0.0000 x2
Fe 0.0000 0.5000 0.2500 x2
P 0.0000 0.0000 0.5000 x2
P 0.0000 0.5000 0.7500 x2

Calculated values
Volume ... 146 Å³ per cell
ρ ... 4660 kg/m3
Total moment ... 3.36 μB/f.u.

Model two:
First-principles (SCAN) data for SrFeP2 at its PBEsol-relaxed geometry, as listed in Alexandria via LeMat-Bulk.

Cell lengths 4.3604, 4.3604, 3.8355 Å; angles 90.00, 90.00, 90.00 degrees
Space group P4/mmm (No. 123)
Symmetry-distinct sites (fractional):
Sr 0.0000 0.0000 0.0000 x1
Fe 0.5000 0.5000 0.0000 x1
P 0.0000 0.5000 0.5000 x2

Calculated values
Volume ... 73 Å³ per cell
ρ ... 4677 kg/m3
Total moment ... 3.48 μB/f.u.

Model three:
First-principles (SCAN) data for SrFeP2 at its PBEsol-relaxed geometry, as listed in Alexandria via LeMat-Bulk.

Cell lengths 4.7758, 4.7758, 14.0065 Å; angles 90.00, 90.00, 90.00 degrees
Space group I4_1/amd (No. 141, origin choice 2)
Symmetry-distinct sites (fractional):
Sr 0.0000 0.2500 0.3750 x4
Fe 0.0000 0.2500 0.8750 x4
P 0.0000 0.0000 0.0000 x8

Calculated values
Volume ... 319 Å³ per cell
ρ ... 4271 kg/m3
Total moment ... 0.00 μB/f.u.

Model four:
First-principles (SCAN) data for SrFeP2 at its PBEsol-relaxed geometry, as listed in Alexandria via LeMat-Bulk.

Cell lengths 6.2690, 3.8773, 6.0828 Å; angles 90.00, 108.90, 90.00 degrees
Space group Cm (No. 8)
Symmetry-distinct sites (fractional):
Sr 0.0000 0.0000 0.0000 x2
Fe 0.1760 0.0000 0.5531 x2
P 0.0443 0.5000 0.6331 x2
P 0.2708 0.5000 0.3767 x2

Calculated values
Volume ... 140 Å³ per cell
ρ ... 4877 kg/m3
Total moment ... 0.00 μB/f.u.

model three ends up most stable, edging out the next structure by 0.017 eV/atom.

Model one:
First-principles (SCAN) data for ZrFeP2 at its PBEsol-relaxed geometry, as listed in Alexandria via LeMat-Bulk.

Cell lengths 8.1631, 3.1514, 4.5556 Å; angles 90.00, 105.84, 90.00 degrees
Space group Cm (No. 8)
Symmetry-distinct sites (fractional):
Zr 0.0000 0.0000 0.0000 x2
Fe 0.2708 0.5000 0.4035 x2
P 0.2447 0.0000 0.7367 x2
P 0.4923 0.0000 0.4994 x2

Calculated values
Volume ... 113 Å³ per cell
ρ ... 6157 kg/m3
Total moment ... 1.51 μB/f.u.

Model two:
First-principles (SCAN) data for ZrFeP2 at its PBEsol-relaxed geometry, as listed in Alexandria via LeMat-Bulk.

Cell lengths 3.2566, 3.2566, 5.3843 Å; angles 90.00, 90.00, 90.00 degrees
Space group P4mm (No. 99)
Symmetry-distinct sites (fractional):
Zr 0.0000 0.0000 0.0000 x1
Fe 0.5000 0.5000 0.3606 x1
P 0.0000 0.0000 0.4981 x1
P 0.5000 0.5000 0.7887 x1

Calculated values
Volume ... 57 Å³ per cell
ρ ... 6078 kg/m3
Total moment ... 1.73 μB/f.u.

model two ends up most stable, edging out the next structure by 0.067 eV/atom.